(1)
A plane-wave DFT calculation with PBE was carried out for AcLaSm3Dy after structural relaxation.

Output
Energy of formation, eV/atom: 0.188
Uncorrected energy, eV per cell: -53.3
Magnetic moment, μB per formula unit: 0.00
Space group: No. 12

Cell lengths 5.859, 10.739, 7.193 Å; angles 90.72, 90.00, 105.83 degrees
Sites, in units of the cell vectors:
Sm (0.782, 0.564, 0.740)
La (0.947, 0.893, 0.722)
Dy (0.353, 0.706, 0.518)
Sm (0.218, 0.436, 0.260)
Dy (0.647, 0.294, 0.482)
Sm (0.482, 0.963, 0.262)
La (0.053, 0.107, 0.278)
Sm (0.835, 0.669, 0.265)
Ac (0.353, 0.706, 0.969)
Ac (0.647, 0.294, 0.031)
Sm (0.518, 0.037, 0.738)
Sm (0.165, 0.331, 0.735)



(2)
A plane-wave DFT calculation with PBE was carried out for NaGaSi2Hg after structural relaxation.

Output
Formation energy (no corrections), kcal/mol of atoms: 18.80
Uncorrected energy, eV per cell: -11.4
Magnetic moment, μB per formula unit: 0.00
Space group: No. 123

Cell lengths 5.081, 5.358, 5.081 Å; angles 90.00, 90.00, 90.00 degrees
Sites, in units of the cell vectors:
Hg (0.000, 0.000, 0.000)
Si (0.000, 0.000, 0.500)
Ga (0.500, 0.500, 0.500)
Na (0.000, 0.500, 0.000)
Si (0.500, 0.000, 0.000)



(3)
A plane-wave DFT calculation with PBE was carried out for K2LiTeSe4 after structural relaxation.

Output
Formation energy (no corrections), kcal/mol of atoms: -13.97
Uncorrected energy, eV per cell: -52.1
Magnetic moment, μB per formula unit: 0.00
Space group: No. 70

Cell lengths 6.291, 7.616, 12.658 Å; angles 84.11, 75.61, 65.60 degrees
Sites, in units of the cell vectors:
K (0.569, 0.500, 0.862)
Se (0.320, 0.766, 0.107)
K (0.181, 0.000, 0.638)
Te (0.500, 0.000, 0.000)
Se (0.177, 0.266, 0.393)
Se (0.914, 0.766, 0.893)
Se (0.557, 0.266, 0.607)
Se (0.573, 0.234, 0.107)
K (0.931, 0.500, 0.138)
Se (0.430, 0.734, 0.393)
Li (0.750, 0.500, 0.500)
Li (0.000, 0.000, 0.000)
Te (0.250, 0.500, 0.500)
Se (0.836, 0.734, 0.607)
K (0.819, 0.000, 0.362)
Se (0.193, 0.234, 0.893)



(4)
A plane-wave DFT calculation with PBE was carried out for Ce2GdCu after structural relaxation.

Output
Energy of formation, eV/atom: 0.258
Uncorrected energy, eV per cell: -29.0
Magnetic moment, μB per formula unit: 6.55
Space group: No. 166

Cell lengths 3.255, 3.255, 11.125 Å; angles 81.59, 81.59, 60.00 degrees
Each line ends with the local moment (μB).
Sites, in units of the cell vectors:
Gd (0.000, 0.000, 0.000)  7.20
Cu (0.500, 0.500, 0.500)  -0.01
Ce (0.903, 0.903, 0.290)  -0.33
Ce (0.097, 0.097, 0.710)  -0.33